PBE PrHo3Cu4, relaxed; crystal system = tetragonal; total energy = -4.583 eV per atom; SG = P4/mmm, No. 123; energy of formation = -0.220 eV per atom
1.0
4.947 0.000 0.000
0.000 4.947 0.000
0.000 0.000 6.970
Pr Ho Cu
1 3 4
direct
0.000 0.000 0.000
0.000 0.000 0.500
0.500 0.500 0.000
0.500 0.500 0.500
0.000 0.500 0.264
0.000 0.500 0.736
0.500 0.000 0.264
0.500 0.000 0.736